ThSb6Pd12: relaxed, PBE-GGA.

abc: 7.6380 7.6380 7.6380
angles: 105.58 105.58 105.58
Fractional coordinates of all 19 atoms:
1 Th 0.0000 0.0000 0.0000
2 Sb 0.6720 0.2640 0.2640
3 Sb 0.2640 0.2640 0.6720
4 Sb 0.2640 0.6720 0.2640
5 Sb 0.7360 0.7360 0.3280
6 Sb 0.3280 0.7360 0.7360
7 Sb 0.7360 0.3280 0.7360
8 Pd 0.8765 0.1235 0.5000
9 Pd 0.8948 0.6577 0.6577
10 Pd 0.6577 0.6577 0.8948
11 Pd 0.3423 0.1052 0.3423
12 Pd 0.3423 0.3423 0.1052
13 Pd 0.1052 0.3423 0.3423
14 Pd 0.1235 0.5000 0.8765
15 Pd 0.5000 0.8765 0.1235
16 Pd 0.1235 0.8765 0.5000
17 Pd 0.8765 0.5000 0.1235
18 Pd 0.5000 0.1235 0.8765
19 Pd 0.6577 0.8948 0.6577

Summary:
Density ... 9.7 g/cm³
Calculated volume ... 384.5 Å³ per cell
DOS at the Fermi energy ... 10.86 states/eV/f.u.
Calculated total energy ... -5.367 eV/atom
Crystal system ... trigonal